(1)
# La2Pr6YTm

A relaxed structure of La2Pr6YTm (PBE, Alexandria).

Calculated values
ΔE_f (meV per atom): 109

Lattice parameters (Å, degrees): 9.2648 15.4512 10.1011 90.00 99.76 90.00
Space group C2/c (No. 15)
Symmetry-distinct sites (fractional):
La 0.2457 0.0498 0.0418 [8 per cell]
Pr 0.0645 0.1884 0.4455 [8 per cell]
Pr 0.1050 0.3985 0.6205 [8 per cell]
Pr 0.2022 0.2187 0.8097 [8 per cell]
Y 0.0000 0.0149 0.7500 [4 per cell]
Tm 0.0000 0.4059 0.2500 [4 per cell]



(2)
# HfTh2As3Rh4

A relaxed structure of HfTh2As3Rh4 (PBE, Alexandria).

Calculated values
ΔE_f (meV per atom): -965

Lattice parameters (Å, degrees): 4.1557 4.1557 11.0743 90.00 90.00 90.00
Space group P-4m2 (No. 115)
Symmetry-distinct sites (fractional):
Hf 0.0000 0.0000 0.0000 [1 per cell]
Th 0.0000 0.5000 0.7262 [2 per cell]
As 0.0000 0.5000 0.3661 [2 per cell]
As 0.5000 0.5000 0.0000 [1 per cell]
Rh 0.0000 0.0000 0.5000 [1 per cell]
Rh 0.0000 0.5000 0.1446 [2 per cell]
Rh 0.5000 0.5000 0.5000 [1 per cell]



(3)
# AlGa2AgTe6

A relaxed structure of AlGa2AgTe6 (PBE, Alexandria).

Calculated values
Energy relative to the elements, uncorrected (eV per atom): -0.19

Lattice parameters (Å, degrees): 14.4953 14.6414 7.5416 90.00 120.49 90.00
Space group C2/c (No. 15)
Symmetry-distinct sites (fractional):
Al 0.0000 0.1534 0.2500 [4 per cell]
Ga 0.1814 0.4027 0.6374 [8 per cell]
Ag 0.0000 0.1837 0.7500 [4 per cell]
Te 0.1091 0.4427 0.9066 [8 per cell]
Te 0.1145 0.0605 0.1191 [8 per cell]
Te 0.1404 0.2270 0.6089 [8 per cell]